P.
DFT (PBE-GGA) results for CuPdPtRh after structural relaxation.

Summary:
DOS at the Fermi energy   5.45 states/eV/f.u.
Space-group type   P4mm
Crystal system   tetragonal
Spin magnetization   1.5 μB per cell

abc: 2.7698 2.7698 7.5336
angles: 90.00 90.00 90.00
Site moments in Bohr magnetons follow the coordinates.
Atoms (fractional coordinates):
Pt 0.0000 0.0000 0.5800  0.30
Pd 0.0000 0.0000 0.0615  0.29
Rh 0.5000 0.5000 0.3217  0.88
Cu 0.5000 0.5000 0.8215  0.06

=====

Q.
DFT (PBE-GGA) results for CuPdPtRh after structural relaxation.

Summary:
DOS at the Fermi energy   6.81 states/eV/f.u.
Space-group type   F-43m
Crystal system   cubic
Spin magnetization   0.0 μB per cell

abc: 4.3595 4.3595 4.3595
angles: 60.00 60.00 60.00
Atoms (fractional coordinates):
Pd 0.0000 0.0000 0.0000
Cu 0.2500 0.2500 0.2500
Pt 0.5000 0.5000 0.5000
Rh 0.7500 0.7500 0.7500

=====

Stability, highest: P

=====

P.
DFT (PBE-GGA) results for PuCuPd4 after structural relaxation.

Summary:
DOS at the Fermi energy   16.43 states/eV/f.u.
Space-group type   Pmma
Crystal system   orthorhombic
Spin magnetization   9.9 μB per cell

abc: 4.0547 6.8708 7.4460
angles: 90.00 90.00 90.00
Site moments in Bohr magnetons follow the coordinates.
Atoms (fractional coordinates):
Pd 0.5000 0.6918 0.0454  -0.07
Pd 0.5000 0.6918 0.4546  -0.07
Pd 0.5000 0.0427 0.2500  -0.09
Pd 0.0000 0.0000 0.0000  -0.06
Pd 0.5000 0.3082 0.9546  -0.07
Pd 0.5000 0.9573 0.7500  -0.09
Pd 0.5000 0.3082 0.5454  -0.07
Pd 0.0000 0.0000 0.5000  -0.06
Cu 0.0000 0.7605 0.2500  0.00
Cu 0.0000 0.2395 0.7500  0.00
Pu 0.0000 0.6466 0.7500  5.00
Pu 0.0000 0.3534 0.2500  5.00

=====

Q.
DFT (PBE-GGA) results for PuCuPd4 after structural relaxation.

Summary:
DOS at the Fermi energy   19.40 states/eV/f.u.
Space-group type   F-43m
Crystal system   cubic
Spin magnetization   4.7 μB per cell

abc: 5.3170 5.3170 5.3170
angles: 60.00 60.00 60.00
Site moments in Bohr magnetons follow the coordinates.
Atoms (fractional coordinates):
Pd 0.1237 0.6254 0.6254  -0.13
Pd 0.6254 0.6254 0.6254  -0.13
Pd 0.6254 0.1237 0.6254  -0.13
Pd 0.6254 0.6254 0.1237  -0.13
Pu 0.2500 0.2500 0.2500  4.99
Cu 0.0000 0.0000 0.0000  -0.01

=====

Stability, highest: P

=====

P.
DFT (PBE-GGA) results for RbCuPd2 after structural relaxation.

Summary:
DOS at the Fermi energy   5.13 states/eV/f.u.
Space-group type   I-42d
Crystal system   tetragonal
Spin magnetization   0.0 μB per cell

abc: 5.1155 5.1155 9.2424
angles: 73.93 73.93 90.00
Atoms (fractional coordinates):
Pd 0.3750 0.5679 0.7500
Pd 0.8750 0.6821 0.7500
Pd 0.4321 0.1250 0.2500
Pd 0.3179 0.6250 0.2500
Cu 0.5000 0.5000 0.0000
Cu 0.2500 0.7500 0.5000
Rb 0.7500 0.2500 0.5000
Rb 0.0000 0.0000 0.0000

=====

Q.
DFT (PBE-GGA) results for RbCuPd2 after structural relaxation.

Summary:
DOS at the Fermi energy   0.88 states/eV/f.u.
Space-group type   Fm-3m
Crystal system   cubic
Spin magnetization   0.0 μB per cell

abc: 4.7969 4.7969 4.7969
angles: 60.00 60.00 60.00
Atoms (fractional coordinates):
Pd 0.2500 0.2500 0.2500
Pd 0.7500 0.7500 0.7500
Rb 0.5000 0.5000 0.5000
Cu 0.0000 0.0000 0.0000

=====

Stability, highest: P

=====

P.
DFT (PBE-GGA) results for RbCu2Pd2 after structural relaxation.

Summary:
DOS at the Fermi energy   2.14 states/eV/f.u.
Space-group type   P4/mbm
Crystal system   tetragonal
Spin magnetization   0.0 μB per cell

abc: 7.9531 7.9531 2.8607
angles: 90.00 90.00 90.00
Atoms (fractional coordinates):
Pd 0.8727 0.6273 0.0000
Pd 0.6273 0.1273 0.0000
Pd 0.3727 0.8727 0.0000
Pd 0.1273 0.3727 0.0000
Cu 0.6593 0.8407 0.5000
Cu 0.3407 0.1593 0.5000
Cu 0.1593 0.6593 0.5000
Cu 0.8407 0.3407 0.5000
Rb 0.0000 0.0000 0.0000
Rb 0.5000 0.5000 0.0000

=====

Q.
DFT (PBE-GGA) results for RbCu2Pd2 after structural relaxation.

Summary:
DOS at the Fermi energy   2.27 states/eV/f.u.
Space-group type   I4/mmm
Crystal system   tetragonal
Spin magnetization   0.0 μB per cell

abc: 4.3621 4.3621 6.2368
angles: 69.53 69.53 90.00
Atoms (fractional coordinates):
Cu 0.7500 0.2500 0.5000
Cu 0.2500 0.7500 0.5000
Pd 0.3718 0.3718 0.2564
Pd 0.6282 0.6282 0.7436
Rb 0.0000 0.0000 0.0000

=====

Stability, highest: P

=====

P.
DFT (PBE-GGA) results for RbCu2Pd2 after structural relaxation.

Summary:
DOS at the Fermi energy   1.94 states/eV/f.u.
Space-group type   P4/mbm
Crystal system   tetragonal
Spin magnetization   0.0 μB per cell

abc: 8.0030 8.0030 2.8220
angles: 90.00 90.00 90.00
Atoms (fractional coordinates):
Pd 0.1651 0.6651 0.5000
Pd 0.3349 0.1651 0.5000
Pd 0.8349 0.3349 0.5000
Pd 0.6651 0.8349 0.5000
Cu 0.8810 0.6190 0.0000
Cu 0.6190 0.1190 0.0000
Cu 0.1190 0.3810 0.0000
Cu 0.3810 0.8810 0.0000
Rb 0.0000 0.0000 0.0000
Rb 0.5000 0.5000 0.0000

=====

Q.
DFT (PBE-GGA) results for RbCu2Pd2 after structural relaxation.

Summary:
DOS at the Fermi energy   2.49 states/eV/f.u.
Space-group type   I4/mmm
Crystal system   tetragonal
Spin magnetization   0.0 μB per cell

abc: 4.3595 4.3595 6.1376
angles: 69.20 69.20 90.00
Atoms (fractional coordinates):
Pd 0.7500 0.2500 0.5000
Pd 0.2500 0.7500 0.5000
Cu 0.3785 0.3785 0.2429
Cu 0.6215 0.6215 0.7571
Rb 0.0000 0.0000 0.0000

=====

Stability, highest: P

=====

P.
DFT (PBE-GGA) results for Rb2Cu2Pd after structural relaxation.

Summary:
DOS at the Fermi energy   0.08 states/eV/f.u.
Space-group type   I4/mmm
Crystal system   tetragonal
Spin magnetization   0.0 μB per cell

abc: 6.5973 6.5973 5.9320
angles: 56.22 56.22 90.00
Atoms (fractional coordinates):
Cu 0.3400 0.3400 0.3201
Cu 0.6600 0.6600 0.6799
Rb 0.7500 0.2500 0.5000
Rb 0.2500 0.7500 0.5000
Pd 0.0000 0.0000 0.0000

=====

Q.
DFT (PBE-GGA) results for Rb2Cu2Pd after structural relaxation.

Summary:
DOS at the Fermi energy   1.49 states/eV/f.u.
Space-group type   P4/mbm
Crystal system   tetragonal
Spin magnetization   0.0 μB per cell

abc: 6.7890 6.7890 5.4850
angles: 90.00 90.00 90.00
Atoms (fractional coordinates):
Rb 0.1843 0.6843 0.5000
Rb 0.6843 0.8157 0.5000
Rb 0.8157 0.3157 0.5000
Rb 0.3157 0.1843 0.5000
Cu 0.8684 0.6316 0.0000
Cu 0.6316 0.1316 0.0000
Cu 0.3684 0.8684 0.0000
Cu 0.1316 0.3684 0.0000
Pd 0.5000 0.5000 0.0000
Pd 0.0000 0.0000 0.0000

=====

Stability, highest: Q

=====

P.
DFT (PBE-GGA) results for RbCuPd3 after structural relaxation.

Summary:
DOS at the Fermi energy   2.21 states/eV/f.u.
Space-group type   Pm-3m
Crystal system   cubic
Spin magnetization   0.0 μB per cell

abc: 5.1466 5.1466 5.1466
angles: 90.00 90.00 90.00
Atoms (fractional coordinates):
Rb 0.0000 0.0000 0.0000
Pd 0.0000 0.5000 0.0000
Pd 0.5000 0.0000 0.0000
Pd 0.0000 0.0000 0.5000
Cu 0.5000 0.5000 0.5000

=====

Q.
DFT (PBE-GGA) results for RbCuPd3 after structural relaxation.

Summary:
DOS at the Fermi energy   2.99 states/eV/f.u.
Space-group type   Pm-3m
Crystal system   cubic
Spin magnetization   0.0 μB per cell

abc: 4.8246 4.8246 4.8246
angles: 90.00 90.00 90.00
Atoms (fractional coordinates):
Cu 0.0000 0.0000 0.0000
Pd 0.0000 0.5000 0.0000
Pd 0.5000 0.0000 0.0000
Pd 0.0000 0.0000 0.5000
Rb 0.5000 0.5000 0.5000

=====

Stability, highest: Q

=====

P.
DFT (PBE-GGA) results for RbCu2Pd after structural relaxation.

Summary:
DOS at the Fermi energy   1.12 states/eV/f.u.
Space-group type   I4_1/amd
Crystal system   tetragonal
Spin magnetization   0.0 μB per cell

abc: 4.9730 4.9730 9.3283
angles: 74.54 74.54 90.00
Atoms (fractional coordinates):
Cu 0.8751 0.6250 0.2500
Cu 0.3750 0.1251 0.7500
Cu 0.8750 0.1249 0.7500
Cu 0.8749 0.1250 0.2500
Pd 0.7500 0.2500 0.5000
Pd 0.0000 0.0000 0.0000
Rb 0.2500 0.7500 0.5000
Rb 0.5000 0.5000 0.0000

=====

Q.
DFT (PBE-GGA) results for RbCu2Pd after structural relaxation.

Summary:
DOS at the Fermi energy   1.68 states/eV/f.u.
Space-group type   Fm-3m
Crystal system   cubic
Spin magnetization   0.0 μB per cell

abc: 4.8386 4.8386 4.8386
angles: 60.00 60.00 60.00
Atoms (fractional coordinates):
Rb 0.0000 0.0000 0.0000
Pd 0.5000 0.5000 0.5000
Cu 0.2500 0.2500 0.2500
Cu 0.7500 0.7500 0.7500

=====

Stability, highest: P

=====

P.
DFT (PBE-GGA) results for CuRePd2 after structural relaxation.

Summary:
DOS at the Fermi energy   3.00 states/eV/f.u.
Space-group type   R-3m
Crystal system   trigonal
Spin magnetization   0.0 μB per cell

abc: 2.7577 2.7577 8.9471
angles: 81.13 81.13 60.00
Atoms (fractional coordinates):
Re 0.5000 0.5000 0.5000
Pd 0.2517 0.2517 0.2450
Pd 0.7483 0.7483 0.7550
Cu 0.0000 0.0000 0.0000

=====

Q.
DFT (PBE-GGA) results for CuRePd2 after structural relaxation.

Summary:
DOS at the Fermi energy   2.36 states/eV/f.u.
Space-group type   P4/mmm
Crystal system   tetragonal
Spin magnetization   0.0 μB per cell

abc: 2.7499 2.7499 7.5794
angles: 90.00 90.00 90.00
Atoms (fractional coordinates):
Pd 0.0000 0.0000 0.2441
Pd 0.0000 0.0000 0.7559
Re 0.5000 0.5000 0.5000
Cu 0.5000 0.5000 0.0000

=====

Stability, highest: Q

=====

P.
DFT (PBE-GGA) results for CuRe2Pd after structural relaxation.

Summary:
DOS at the Fermi energy   2.48 states/eV/f.u.
Space-group type   I-42d
Crystal system   tetragonal
Spin magnetization   0.0 μB per cell

abc: 5.4621 5.4621 6.7633
angles: 66.18 66.18 90.00
Atoms (fractional coordinates):
Cu 0.5000 0.5000 0.0000
Cu 0.2500 0.7500 0.5000
Pd 0.0000 0.0000 0.0000
Pd 0.7500 0.2500 0.5000
Re 0.6105 0.1250 0.2500
Re 0.3750 0.3895 0.7500
Re 0.8750 0.8605 0.7500
Re 0.1395 0.6250 0.2500

=====

Q.
DFT (PBE-GGA) results for CuRe2Pd after structural relaxation.

Summary:
DOS at the Fermi energy   3.96 states/eV/f.u.
Space-group type   Fm-3m
Crystal system   cubic
Spin magnetization   0.0 μB per cell

abc: 4.3352 4.3352 4.3352
angles: 60.00 60.00 60.00
Atoms (fractional coordinates):
Re 0.2500 0.2500 0.2500
Re 0.7500 0.7500 0.7500
Cu 0.0000 0.0000 0.0000
Pd 0.5000 0.5000 0.5000

=====

Stability, highest: Q

=====

P.
DFT (PBE-GGA) results for CuPd3Rh after structural relaxation.

Summary:
DOS at the Fermi energy   8.12 states/eV/f.u.
Space-group type   P-1
Crystal system   triclinic
Spin magnetization   0.0 μB per cell

abc: 5.2119 7.8492 4.7689
angles: 97.60 79.76 123.52
Atoms (fractional coordinates):
Pd 0.7326 0.3101 0.9799
Pd 0.4834 0.3247 0.5398
Pd 0.5166 0.6753 0.4602
Pd 0.2674 0.6899 0.0201
Pd 0.8673 0.0209 0.7691
Pd 0.1327 0.9791 0.2309
Cu 0.3096 0.9485 0.7002
Cu 0.6904 0.0515 0.2998
Rh 0.2420 0.3453 0.0934
Rh 0.7580 0.6547 0.9066

=====

Q.
DFT (PBE-GGA) results for CuPd3Rh after structural relaxation.

Summary:
DOS at the Fermi energy   6.20 states/eV/f.u.
Space-group type   Pm-3m
Crystal system   cubic
Spin magnetization   1.6 μB per cell

abc: 4.5189 4.5189 4.5189
angles: 90.00 90.00 90.00
Site moments in Bohr magnetons follow the coordinates.
Atoms (fractional coordinates):
Pd 0.5000 0.0000 0.0000  0.21
Pd 0.0000 0.5000 0.0000  0.14
Pd 0.0000 0.0000 0.5000  0.08
Cu 0.0000 0.0000 0.0000  0.06
Rh 0.5000 0.5000 0.5000  1.12

=====

Stability, highest: P

=====

P.
DFT (PBE-GGA) results for TbCuPdRh after structural relaxation.

Summary:
DOS at the Fermi energy   0.75 states/eV/f.u.
Space-group type   F-43m
Crystal system   cubic
Spin magnetization   0.0 μB per cell

abc: 4.5871 4.5871 4.5871
angles: 60.00 60.00 60.00
Atoms (fractional coordinates):
Tb 0.7500 0.7500 0.7500
Cu 0.2500 0.2500 0.2500
Rh 0.0000 0.0000 0.0000
Pd 0.5000 0.5000 0.5000

=====

Q.
DFT (PBE-GGA) results for TbCuPdRh after structural relaxation.

Summary:
DOS at the Fermi energy   2.68 states/eV/f.u.
Space-group type   Pmmm
Crystal system   orthorhombic
Spin magnetization   0.0 μB per cell

abc: 3.8455 4.1100 4.2357
angles: 90.00 90.00 90.00
Atoms (fractional coordinates):
Pd 0.5000 0.5000 0.0000
Rh 0.5000 0.0000 0.5000
Cu 0.0000 0.0000 0.0000
Tb 0.0000 0.5000 0.5000

=====

Stability, highest: Q